(A)
VASP calculation (PBE) on a relaxed structure of TiCoS2N.

Its density of states at the Fermi level is 4.3 states/eV/f.u.

The space group is P4/mmm (No. 123) and the conventional cell measures 4.789, 4.789 and 3.769 Å, with angles of 90.00, 90.00 and 90.00 degrees. Symmetry generates all atoms from Ti at (0.000, 0.000, 0.000), Co at (0.500, 0.500, 0.500), S at (0.000, 0.500, 0.000) and N at (0.000, 0.000, 0.500).


(B)
VASP calculation (PBE) on a relaxed structure of TiCoS2N.

Its density of states at the Fermi level is 6.8 states/eV/f.u.

The space group is P4/mmm (No. 123) and the conventional cell measures 4.588, 4.588 and 3.379 Å, with angles of 90.00, 90.00 and 90.00 degrees. Symmetry generates all atoms from Ti at (0.000, 0.000, 0.000), Co at (0.500, 0.500, 0.500), S at (0.000, 0.500, 0.500) and N at (0.500, 0.500, 0.000).


Which of them is least stable? Easy: (A).


(A)
VASP calculation (PBE) on a relaxed structure of TiCoSN2.

Its density of states at the Fermi level is 4.7 states/eV/f.u.

The space group is P4/mmm (No. 123) and the conventional cell measures 3.801, 3.801 and 5.102 Å, with angles of 90.00, 90.00 and 90.00 degrees. Symmetry generates all atoms from Ti at (0.000, 0.000, 0.000), Co at (0.500, 0.500, 0.500), S at (0.000, 0.000, 0.500) and N at (0.000, 0.500, 0.000).


(B)
VASP calculation (PBE) on a relaxed structure of TiCoSN2.

Its density of states at the Fermi level is 5.1 states/eV/f.u.

The space group is P4/mmm (No. 123) and the conventional cell measures 3.626, 3.626 and 4.497 Å, with angles of 90.00, 90.00 and 90.00 degrees. Symmetry generates all atoms from Ti at (0.000, 0.000, 0.000), Co at (0.500, 0.500, 0.500), S at (0.500, 0.500, 0.000) and N at (0.000, 0.500, 0.500).


Which of them is least stable? Easy: (A).


(A)
VASP calculation (PBE) on a relaxed structure of VCoS2N.

Its density of states at the Fermi level is 3.4 states/eV/f.u.

The space group is P4/mmm (No. 123) and the conventional cell measures 4.699, 4.699 and 3.587 Å, with angles of 90.00, 90.00 and 90.00 degrees. Symmetry generates all atoms from V at (0.000, 0.000, 0.000), Co at (0.500, 0.500, 0.500), S at (0.000, 0.500, 0.000) and N at (0.000, 0.000, 0.500).


(B)
VASP calculation (PBE) on a relaxed structure of VCoS2N.

Its density of states at the Fermi level is 4.1 states/eV/f.u.

The space group is P4/mmm (No. 123) and the conventional cell measures 4.593, 4.593 and 3.353 Å, with angles of 90.00, 90.00 and 90.00 degrees. Symmetry generates all atoms from V at (0.000, 0.000, 0.000), Co at (0.500, 0.500, 0.500), S at (0.000, 0.500, 0.500) and N at (0.500, 0.500, 0.000).


Which of them is least stable? Easy: (B).


(A)
VASP calculation (PBE) on a relaxed structure of YCoS2N.

Its density of states at the Fermi level is 14.0 states/eV/f.u.

The space group is P4/mmm (No. 123) and the conventional cell measures 5.236, 5.236 and 4.275 Å, with angles of 90.00, 90.00 and 90.00 degrees. Symmetry generates all atoms from Y at (0.000, 0.000, 0.000), Co at (0.500, 0.500, 0.500), S at (0.000, 0.500, 0.000) and N at (0.000, 0.000, 0.500).


(B)
VASP calculation (PBE) on a relaxed structure of YCoS2N.

Its density of states at the Fermi level is 2.7 states/eV/f.u.

The space group is P4/mmm (No. 123) and the conventional cell measures 4.696, 4.696 and 3.515 Å, with angles of 90.00, 90.00 and 90.00 degrees. Symmetry generates all atoms from Y at (0.000, 0.000, 0.000), Co at (0.500, 0.500, 0.500), S at (0.000, 0.500, 0.500) and N at (0.500, 0.500, 0.000).


Which of them is least stable? Easy: (A).


(A)
VASP calculation (PBE) on a relaxed structure of ZrCoS2N.

Its density of states at the Fermi level is 4.2 states/eV/f.u.

The space group is P4/mmm (No. 123) and the conventional cell measures 5.053, 5.053 and 4.086 Å, with angles of 90.00, 90.00 and 90.00 degrees. Symmetry generates all atoms from Zr at (0.000, 0.000, 0.000), Co at (0.500, 0.500, 0.500), S at (0.000, 0.500, 0.000) and N at (0.000, 0.000, 0.500).


(B)
VASP calculation (PBE) on a relaxed structure of ZrCoS2N.

Its density of states at the Fermi level is 4.3 states/eV/f.u.

The space group is P4/mmm (No. 123) and the conventional cell measures 4.613, 4.613 and 3.437 Å, with angles of 90.00, 90.00 and 90.00 degrees. Symmetry generates all atoms from Zr at (0.000, 0.000, 0.000), Co at (0.500, 0.500, 0.500), S at (0.000, 0.500, 0.500) and N at (0.500, 0.500, 0.000).


Which of them is least stable? Easy: (A).


(A)
VASP calculation (PBE) on a relaxed structure of Co3SbN.

Its density of states at the Fermi level is 7.6 states/eV/f.u.

The space group is Pm-3m (No. 221) and the conventional cell measures 4.642, 4.642 and 4.642 Å, with angles of 90.00, 90.00 and 90.00 degrees. Symmetry generates all atoms from Co at (0.000, 0.000, 0.500), Sb at (0.000, 0.000, 0.000) and N at (0.500, 0.500, 0.500).


(B)
VASP calculation (PBE) on a relaxed structure of Co3SbN.

Its density of states at the Fermi level is 6.1 states/eV/f.u.

The space group is Pm-3m (No. 221) and the conventional cell measures 3.893, 3.893 and 3.893 Å, with angles of 90.00, 90.00 and 90.00 degrees. Symmetry generates all atoms from Co at (0.000, 0.000, 0.500), Sb at (0.500, 0.500, 0.500) and N at (0.000, 0.000, 0.000).


Which of them is least stable? Easy: (A).


(A)
VASP calculation (PBE) on a relaxed structure of Co2SbN.

Its density of states at the Fermi level is 1.8 states/eV/f.u.

The space group is Fm-3m (No. 225) and the conventional cell measures 5.842, 5.842 and 5.842 Å, with angles of 90.00, 90.00 and 90.00 degrees. Symmetry generates all atoms from Co at (0.250, 0.250, 0.250), Sb at (0.000, 0.000, 0.000) and N at (0.000, 0.000, 0.500).


(B)
VASP calculation (PBE) on a relaxed structure of Co2SbN.

Its density of states at the Fermi level is 2.9 states/eV/f.u.

The space group is I-42d (No. 122) and the conventional cell measures 4.724, 4.724 and 10.284 Å, with angles of 90.00, 90.00 and 90.00 degrees. Symmetry generates all atoms from Co at (0.116, 0.250, 0.125), Sb at (0.000, 0.000, 0.500) and N at (0.000, 0.000, 0.000).


Which of them is least stable? Easy: (A).


(A)
VASP calculation (PBE) on a relaxed structure of CoSbSeN2.

Its density of states at the Fermi level is 3.9 states/eV/f.u.

The space group is P4/mmm (No. 123) and the conventional cell measures 3.879, 3.879 and 4.909 Å, with angles of 90.00, 90.00 and 90.00 degrees. Symmetry generates all atoms from Co at (0.000, 0.000, 0.000), Sb at (0.500, 0.500, 0.500), Se at (0.000, 0.000, 0.500) and N at (0.000, 0.500, 0.000).


(B)
VASP calculation (PBE) on a relaxed structure of CoSbSeN2.

Its density of states at the Fermi level is 5.0 states/eV/f.u.

The space group is P4/mmm (No. 123) and the conventional cell measures 3.659, 3.659 and 6.363 Å, with angles of 90.00, 90.00 and 90.00 degrees. Symmetry generates all atoms from Co at (0.000, 0.000, 0.000), Sb at (0.500, 0.500, 0.000), Se at (0.500, 0.500, 0.500) and N at (0.000, 0.500, 0.500).


Which of them is least stable? Easy: (B).


(A)
VASP calculation (PBE) on a relaxed structure of CoSbSe2N.

Its density of states at the Fermi level is 4.5 states/eV/f.u.

The space group is P4/mmm (No. 123) and the conventional cell measures 5.353, 5.353 and 3.877 Å, with angles of 90.00, 90.00 and 90.00 degrees. Symmetry generates all atoms from Co at (0.000, 0.000, 0.000), Sb at (0.500, 0.500, 0.500), Se at (0.000, 0.500, 0.500) and N at (0.500, 0.500, 0.000).


(B)
VASP calculation (PBE) on a relaxed structure of CoSbSe2N.

Its density of states at the Fermi level is 4.4 states/eV/f.u.

The space group is P4/mmm (No. 123) and the conventional cell measures 5.030, 5.030 and 3.474 Å, with angles of 90.00, 90.00 and 90.00 degrees. Symmetry generates all atoms from Co at (0.000, 0.000, 0.000), Sb at (0.500, 0.500, 0.500), Se at (0.000, 0.500, 0.000) and N at (0.000, 0.000, 0.500).


Which of them is least stable? Easy: (A).


(A)
VASP calculation (PBE) on a relaxed structure of ScCo3N.

Its density of states at the Fermi level is 1.9 states/eV/f.u.

The space group is Pm-3m (No. 221) and the conventional cell measures 3.844, 3.844 and 3.844 Å, with angles of 90.00, 90.00 and 90.00 degrees. Symmetry generates all atoms from Sc at (0.000, 0.000, 0.000), Co at (0.000, 0.500, 0.500) and N at (0.500, 0.500, 0.500).


(B)
VASP calculation (PBE) on a relaxed structure of ScCo3N.

Its density of states at the Fermi level is 14.1 states/eV/f.u.

The space group is Pm-3m (No. 221) and the conventional cell measures 4.398, 4.398 and 4.398 Å, with angles of 90.00, 90.00 and 90.00 degrees. Symmetry generates all atoms from Sc at (0.000, 0.000, 0.000), Co at (0.000, 0.000, 0.500) and N at (0.500, 0.500, 0.500).


Which of them is least stable? Easy: (B).


(A)
VASP calculation (PBE) on a relaxed structure of ScCoSeN2.

Its density of states at the Fermi level is 3.2 states/eV/f.u.

The space group is P4/mmm (No. 123) and the conventional cell measures 3.753, 3.753 and 4.824 Å, with angles of 90.00, 90.00 and 90.00 degrees. Symmetry generates all atoms from Sc at (0.000, 0.000, 0.000), Co at (0.500, 0.500, 0.500), Se at (0.500, 0.500, 0.000) and N at (0.000, 0.500, 0.500).


(B)
VASP calculation (PBE) on a relaxed structure of ScCoSeN2.

Its density of states at the Fermi level is 5.1 states/eV/f.u.

The space group is P4/mmm (No. 123) and the conventional cell measures 4.057, 4.057 and 5.473 Å, with angles of 90.00, 90.00 and 90.00 degrees. Symmetry generates all atoms from Sc at (0.000, 0.000, 0.000), Co at (0.500, 0.500, 0.500), Se at (0.000, 0.000, 0.500) and N at (0.000, 0.500, 0.000).


Which of them is least stable? Easy: (B).


(A)
VASP calculation (PBE) on a relaxed structure of CoSe3N.

Its density of states at the Fermi level is 4.7 states/eV/f.u.

The space group is Pm-3m (No. 221) and the conventional cell measures 4.346, 4.346 and 4.346 Å, with angles of 90.00, 90.00 and 90.00 degrees. Symmetry generates all atoms from Co at (0.000, 0.000, 0.000), Se at (0.000, 0.500, 0.500) and N at (0.500, 0.500, 0.500).


(B)
VASP calculation (PBE) on a relaxed structure of CoSe3N.

Its density of states at the Fermi level is 7.4 states/eV/f.u.

The space group is Pm-3m (No. 221) and the conventional cell measures 4.572, 4.572 and 4.572 Å, with angles of 90.00, 90.00 and 90.00 degrees. Symmetry generates all atoms from Co at (0.000, 0.000, 0.000), Se at (0.000, 0.000, 0.500) and N at (0.500, 0.500, 0.500).


Which of them is least stable? Easy: (B).